Entry 1:
Si2SnRhN | Alexandria via LeMat-Bulk | PBE | relaxed; spin magnetization = 0.0 μB/f.u.; distance to the lowest polymorph of the same formula = 229 meV per atom; DFT total energy = -62.5 eV/cell; ΔE_f (raw) = -3.379 kcal/mol of atoms
1.0
4.7507 0.0000 -0.0028
0.0000 4.8912 0.0000
-1.4092 0.0000 7.0538
Si Sn Rh N
4 2 2 2
Cartesian
3.3983 3.7116 0.7773
2.6937 1.2660 4.3042
2.6937 3.6252 4.3042
3.3983 1.1796 0.7773
-0.0773 0.0000 6.0326
0.6273 2.4456 2.5058
4.1479 0.0000 2.8091
3.4433 2.4456 6.3360
2.1582 2.4456 0.9834
1.4536 0.0000 4.5103



Entry 2:
Ce3CoRu2 | Alexandria via LeMat-Bulk | PBE | relaxed; spin magnetization = 0.0 μB/f.u.; distance to the lowest polymorph of the same formula = 94 meV per atom; DFT total energy = -89.6 eV/cell
1.0
6.6754 0.3099 0.2208
1.1483 5.8259 -1.7911
1.1483 0.2103 6.0914
Ce Ru Co
6 4 2
Cartesian
8.4208 5.7064 3.0474
6.1548 3.8836 1.4271
3.8888 1.7568 0.2336
0.5511 0.6398 1.4737
2.8171 2.4625 3.0940
5.0832 4.5893 4.2874
1.7276 3.3853 -0.0231
3.9067 5.1071 1.2036
7.2444 2.9608 4.5442
5.0652 1.2390 3.3175
2.8171 0.9473 5.2209
6.1548 5.3989 -0.6998



Entry 3:
RbLiSnSe | Alexandria via LeMat-Bulk | PBE | relaxed; spin magnetization = 0.0 μB/f.u.; DFT total energy = -26.7 eV/cell; ΔE_f (raw) = -17.261 kcal/mol of atoms
1.0
4.2779 0.0000 0.0000
0.0000 4.2779 0.0000
0.0000 0.0000 13.9546
Rb Se Sn Li
2 2 2 2
Cartesian
3.2084 3.2084 3.0769
1.0695 1.0695 10.8778
1.0695 1.0695 1.4780
3.2084 3.2084 12.4766
1.0695 3.2084 6.9773
3.2084 1.0695 6.9773
3.2084 1.0695 0.0000
1.0695 3.2084 0.0000